(1)
Entry from the Alexandria database: crystalline Tb3SmDy3 at its relaxed geometry (PBE).

```
14
Lattice="9.5800 0.0000 0.0000 -4.7900 8.2965 0.0000 0.0000 0.0000 5.6898" Properties=species:S:1:pos:R:3 pbc="T T T"
Tb -0.6749 1.9731 1.4225
Tb -2.7438 7.8944 1.4225
Tb 1.3713 1.5710 4.2674
Tb 3.4187 6.7255 1.4225
Tb 7.5338 0.4021 4.2674
Tb 5.4649 6.3234 4.2674
Sm 0.0000 5.5310 1.4225
Sm 4.7900 2.7655 4.2674
Dy -1.3682 3.9539 4.2674
Dy -0.6817 7.5045 4.2674
Dy 2.7401 3.1619 1.4225
Dy 2.0499 5.1346 4.2674
Dy 5.4717 0.7920 1.4225
Dy 6.1582 4.3426 1.4225
```

## Properties
E   -4.62 eV/atom
Energy of formation from the pure elements   0.01 eV/atom
M_tot   0.000 μB per formula unit

***

(2)
Entry from the Alexandria database: crystalline Tb4Sm5Dy at its relaxed geometry (PBE).

```
10
Lattice="3.5885 0.0000 0.0000 1.7865 9.3247 0.0000 0.0104 2.7677 9.7842" Properties=species:S:1:pos:R:3 pbc="T T T"
Tb 0.8979 3.6209 2.9134
Tb 2.6928 10.8779 8.8088
Tb 2.6926 1.2145 0.9754
Tb 4.4875 8.4715 6.8708
Sm 0.9036 5.0216 7.8493
Sm 2.6879 9.5016 3.9109
Sm 2.6927 6.0462 4.8921
Sm 2.6975 2.5908 5.8733
Sm 4.4818 7.0708 1.9350
Dy 2.6875 4.6624 0.0000
```

## Properties
E   -4.66 eV/atom
Energy of formation from the pure elements   0.01 eV/atom
M_tot   0.000 μB per formula unit

***

(3)
Entry from the Alexandria database: crystalline Tb6Sm5Dy at its relaxed geometry (PBE).

```
12
Lattice="3.1074 -5.3786 0.0000 3.1074 5.3786 0.0000 -2.0628 0.0000 11.7006" Properties=species:S:1:pos:R:3 pbc="T T T"
Tb 1.0361 1.7910 2.9156
Tb 0.0037 0.0000 8.7828
Tb 1.0361 -1.7910 2.9156
Tb 3.1158 1.7910 8.7849
Tb 4.1482 0.0000 2.9178
Tb 3.1158 -1.7910 8.7849
Sm 2.0760 3.5864 5.8503
Sm 3.1074 1.7932 0.0000
Sm 2.0760 0.0000 5.8503
Sm 3.1074 -1.7932 0.0000
Sm 2.0760 -3.5864 5.8503
Dy 0.0000 0.0000 0.0000
```

## Properties
E   -4.65 eV/atom
Energy of formation from the pure elements   0.01 eV/atom
M_tot   0.000 μB per formula unit

***

(4)
Entry from the Alexandria database: crystalline Tb4Sm2Dy at its relaxed geometry (PBE).

```
7
Lattice="8.4338 -1.7730 0.0000 8.4338 1.7730 0.0000 -4.3675 0.0000 7.6281" Properties=species:S:1:pos:R:3 pbc="T T T"
Tb 0.9222 0.0000 2.6163
Tb -0.0148 0.0000 6.0471
Tb 12.5149 0.0000 1.5811
Tb 11.5779 0.0000 5.0119
Sm 6.9481 0.0000 0.5362
Sm 5.5520 0.0000 7.0920
Dy 6.2500 0.0000 3.8141
```

## Properties
E   -4.61 eV/atom
Energy of formation from the pure elements   0.05 eV/atom
M_tot   0.000 μB per formula unit

***

(5)
Entry from the Alexandria database: crystalline Tb5Sm2Dy2 at its relaxed geometry (PBE).

```
18
Lattice="-7.4437 5.9031 3.3685 7.4437 -5.9031 3.3685 7.4437 5.9031 -3.3685" Properties=species:S:1:pos:R:3 pbc="T T T"
Tb 3.7219 2.8936 -1.3166
Tb 9.5734 3.1260 -1.2438
Tb 5.3140 -2.7771 2.1247
Tb 0.7722 2.9325 0.0000
Tb 6.6715 2.9325 0.0000
Tb -2.1297 2.7771 2.1247
Tb 9.5734 2.7771 2.1247
Tb 3.7219 3.0095 2.0520
Tb 0.7722 2.9706 3.3685
Tb 6.6715 2.9706 3.3685
Sm 3.7219 -0.1068 0.6857
Sm 11.1656 0.1068 0.6857
Sm 0.0000 0.0000 1.2601
Sm 7.4437 0.0000 1.2601
Dy 1.8885 5.8920 1.0034
Dy 5.5553 5.8920 1.0034
Dy -1.8885 5.9141 1.0034
Dy 1.8885 0.0111 4.3719
```

## Properties
E   -4.43 eV/atom
Energy of formation from the pure elements   0.22 eV/atom
M_tot   0.000 μB per formula unit

***

(6)
Entry from the Alexandria database: crystalline Tb4Sm3Dy at its relaxed geometry (PBE).

```
8
Lattice="11.7552 -1.7431 0.0000 11.7552 1.7431 0.0000 -1.9423 0.0000 6.4777" Properties=species:S:1:pos:R:3 pbc="T T T"
Tb 2.1855 0.0000 2.4792
Tb 5.5897 0.0000 1.7098
Tb 15.9784 0.0000 4.7679
Tb 19.3825 0.0000 3.9985
Sm 0.0000 0.0000 0.0000
Sm 1.2606 0.0000 5.6254
Sm 20.3074 0.0000 0.8523
Dy 10.7840 0.0000 3.2388
```

## Properties
E   -4.50 eV/atom
Energy of formation from the pure elements   0.16 eV/atom
M_tot   0.000 μB per formula unit

***

(7)
Entry from the Alexandria database: crystalline Tb6SmDy3 at its relaxed geometry (PBE).

```
20
Lattice="4.8193 -10.5156 0.0000 4.8193 10.5156 0.0000 0.0000 0.0000 6.3874" Properties=species:S:1:pos:R:3 pbc="T T T"
Tb 4.8193 10.2013 3.1937
Tb 3.1283 4.5964 6.2822
Tb 3.0818 1.2540 4.7300
Tb 4.8193 4.1745 3.3247
Tb 3.0818 -1.2540 1.5363
Tb 6.5104 4.5964 6.2822
Tb 3.1283 -4.5964 3.0886
Tb 6.5569 1.2540 4.7300
Tb 4.8193 -4.1745 0.1310
Tb 6.5569 -1.2540 1.5363
Tb 6.5104 -4.5964 3.0886
Tb 4.8193 -10.2013 0.0000
Sm 4.8193 7.1328 1.9333
Sm 4.8193 -7.1328 5.1270
Dy 1.6300 2.6756 2.0922
Dy 1.6300 -2.6756 5.2859
Dy 4.8193 1.6983 1.3873
Dy 4.8193 -1.6983 4.5809
Dy 8.0087 2.6756 2.0922
Dy 8.0087 -2.6756 5.2859
```

## Properties
E   -4.51 eV/atom
Energy of formation from the pure elements   0.12 eV/atom
M_tot   0.000 μB per formula unit

***

(8)
Entry from the Alexandria database: crystalline Tb8SmDy6 at its relaxed geometry (PBE).

```
15
Lattice="4.5189 2.6090 6.8626 -4.5189 2.6090 6.8626 0.0000 -5.2180 6.8626" Properties=species:S:1:pos:R:3 pbc="T T T"
Tb 0.0000 0.0000 1.5794
Tb -1.7651 0.8916 7.3856
Tb 0.1104 -1.9744 7.3856
Tb -1.6547 -1.0829 13.2021
Tb 1.6547 1.0829 7.3856
Tb -0.1104 1.9744 13.2021
Tb 1.7651 -0.8916 13.2021
Tb 0.0000 0.0000 19.0083
Sm 0.0000 0.0000 10.2938
Dy -2.5615 -2.1565 9.4616
Dy -3.1483 1.1401 11.1260
Dy 0.5868 -3.2965 11.1260
Dy -0.5868 3.2965 9.4616
Dy 3.1483 -1.1401 9.4616
Dy 2.5615 2.1565 11.1260
```

## Properties
E   -4.50 eV/atom
Energy of formation from the pure elements   0.13 eV/atom
M_tot   0.000 μB per formula unit